# ZnSi2 GGA-PBEsol relaxed
# Size of the total moment ... 0.00 μB/atom
# E ... -12.2 eV per formula unit
# ΔE_f (raw) ... 0.9 eV per formula unit
# Calculated volume ... 14.49 Å³ per atom
data_ZnSi2
_cell_length_a 2.5462
_cell_length_b 4.6945
_cell_length_c 14.5496
_cell_angle_alpha 90.00
_cell_angle_beta 90.00
_cell_angle_gamma 90.00
_symmetry_space_group_name_H-M 'F m m m'
_symmetry_Int_Tables_number 69
_symmetry_space_group_name_Hall '-F 2 2'
loop_
_atom_site_label
_atom_site_type_symbol
_atom_site_fract_x
_atom_site_fract_y
_atom_site_fract_z
Zn1 Zn 0.0000 0.0000 0.0000
Si1 Si 0.0000 0.0000 0.3318